Record 1
RbTaCd2 | the Alexandria database | GGA-PBE | relaxed; calculated total energy = -2.53 eV/atom; total magnetic moment = 6.0 μB/cell; space-group type = No. 122; ΔE to the lowest computed polymorph = 0.060 eV/atom; formation enthalpy at 0 K = 1.133 eV per atom
1.0
-3.3540 4.4987 -1.2999
-1.1848 -2.3621 -5.1180
-10.0307 -3.5792 0.7328
Ta Rb Cd
2 2 4
direct
0.7500 0.2500 0.5000 Ta
0.0000 0.0000 0.0000 Ta
0.5000 0.5000 0.0000 Rb
0.2500 0.7500 0.5000 Rb
0.3750 0.1538 0.7500 Cd
0.9038 0.6250 0.2500 Cd
0.8462 0.1250 0.2500 Cd
0.8750 0.0962 0.7500 Cd



Record 2
RbTaCd3 | the Alexandria database | GGA-PBE | relaxed; calculated total energy = -1.26 eV/atom; total magnetic moment = 3.9 μB/cell; space-group type = No. 221; ΔE to the lowest computed polymorph = 1.174 eV/atom; formation enthalpy at 0 K = 1.857 eV per atom
1.0
-3.8832 -3.0010 3.8289
4.6704 -0.9284 4.0089
-1.3617 5.3738 2.8308
Rb Ta Cd
1 1 3
direct
0.0000 0.0000 0.0000 Rb
0.5000 0.5000 0.5000 Ta
0.0000 0.5000 0.0000 Cd
0.0000 0.0000 0.5000 Cd
0.5000 0.0000 0.0000 Cd



Record 3
RbTa2Cd | the Alexandria database | GGA-PBE | relaxed; calculated total energy = -4.88 eV/atom; total magnetic moment = 0.0 μB/cell; space-group type = No. 122; formation enthalpy at 0 K = 1.519 eV per atom
1.0
-3.6308 -0.7512 2.6570
-2.5298 -0.8538 -3.6984
-0.3784 -11.5902 0.1214
Ta Cd Rb
4 2 2
direct
0.9926 0.6250 0.2500 Ta
0.8750 0.0074 0.7500 Ta
0.3750 0.2426 0.7500 Ta
0.7574 0.1250 0.2500 Ta
0.7500 0.2500 0.5000 Cd
0.0000 0.0000 0.0000 Cd
0.2500 0.7500 0.5000 Rb
0.5000 0.5000 0.0000 Rb